Material: K2ZrNpO6
Method: DFT, PBE-GGA
State: relaxed

Values from the calculation:
Total DFT energy (no corrections) = -161.5 eV per cell

a b c (Å): 5.962 5.962 8.432
angles (deg): 90.00 90.00 90.00
Last column: magnetic moment on the atom in μB.
Sites, in units of the cell vectors:
K (0.500, 0.750, 0.250)  0.00
K (0.000, 0.250, 0.750)  0.00
K (0.500, 0.750, 0.750)  0.00
K (0.000, 0.250, 0.250)  0.00
Zr (0.000, 0.750, 0.500)  -0.01
Zr (0.500, 0.250, 0.000)  -0.01
Np (0.500, 0.250, 0.500)  1.23
Np (0.000, 0.750, 0.000)  1.23
O (0.500, 0.250, 0.253)  -0.04
O (0.500, 0.250, 0.747)  -0.04
O (0.000, 0.750, 0.247)  -0.04
O (0.000, 0.750, 0.753)  -0.04
O (0.253, 0.002, 0.500)  -0.04
O (0.747, 0.002, 0.500)  -0.04
O (0.252, 0.497, 0.500)  -0.04
O (0.748, 0.497, 0.500)  -0.04
O (0.752, 0.503, 0.000)  -0.04
O (0.248, 0.503, 0.000)  -0.04
O (0.247, 0.998, 0.000)  -0.04
O (0.753, 0.998, 0.000)  -0.04



Material: MgTeAs2Se
Method: DFT, PBE-GGA
State: relaxed

Values from the calculation:
Excess energy over the best structure of this formula in the dataset = 0.000 eV per atom
D(E_F) = 4.80 states/eV/f.u.
Total DFT energy (no corrections) = -15.0 eV per cell

a b c (Å): 5.077 5.077 4.902
angles (deg): 90.00 90.00 90.00
Sites, in units of the cell vectors:
As (0.000, 0.500, 0.000)
As (0.500, 0.000, 0.000)
Te (0.500, 0.500, 0.500)
Mg (0.000, 0.000, 0.000)
Se (0.000, 0.000, 0.500)



Material: Pa3Tl3CuS8
Method: DFT, PBE-GGA
State: relaxed

Values from the calculation:
D(E_F) = 11.63 states/eV/f.u.
Total DFT energy (no corrections) = -88.3 eV per cell

a b c (Å): 8.298 7.814 8.645
angles (deg): 114.14 90.00 122.07
Last column: magnetic moment on the atom in μB.
Sites, in units of the cell vectors:
Pa (0.500, 0.000, 0.500)  0.89
Pa (0.500, 0.500, 0.500)  0.88
Pa (0.000, 0.500, 0.500)  0.88
Tl (0.000, 0.000, 0.000)  0.02
Tl (0.000, 0.500, 0.000)  0.01
Tl (0.500, 0.500, 0.000)  0.01
Cu (0.000, 0.000, 0.500)  -0.01
S (0.265, 0.529, 0.301)  -0.03
S (0.735, 0.471, 0.699)  -0.03
S (0.801, 0.603, 0.337)  -0.02
S (0.199, 0.397, 0.663)  -0.02
S (0.746, 0.048, 0.293)  -0.03
S (0.254, 0.952, 0.707)  -0.03
S (0.302, 0.048, 0.293)  -0.03
S (0.698, 0.952, 0.707)  -0.03